Density functional theory data (PBE) for LiTh2Al after structural relaxation.

Lattice parameters (Å, degrees): 12.0181 12.0181 12.0181 15.90 15.90 15.90
Closest atoms and distances in Å follow each position.
Fractional positions:
1 Li 0.0000 0.0000 0.0000  2 Th 3.32, 6 Li 3.32
2 Th 0.0934 0.0934 0.0934  3 Al 3.24, 1 Li 3.32, 6 Th 3.32
3 Th 0.9066 0.9066 0.9066  3 Al 3.24, 1 Li 3.32, 6 Th 3.32
4 Al 0.5000 0.5000 0.5000  6 Th 3.24, 6 Al 3.32

Properties
Density of states at the Fermi level in states/eV/cell: 4.18
Energy relative to the elements in kJ per mole of atoms: 19.2